Cd2Ge2Mo, optimized geometry, DFT PBE; total magnetization = 0.51 μB per atom; final energy = -3.685 eV per atom; N(E_F) = 0.648 states/eV/atom; energy of formation from the pure elements = 0.694 eV/atom; energy above the most stable polymorph in this dataset = 360.2 meV per atom; SG = I4/mmm, No. 139
1.0
-2.751 -1.092 -2.046
1.715 -3.096 -0.653
-4.089 -5.463 5.249
Mo Ge Cd
1 2 2
Direct
0.000 0.000 0.000
0.750 0.250 0.500
0.250 0.750 0.500
0.405 0.405 0.190
0.595 0.595 0.810